# 1
{"formula": "SrZrTi2Se", "functional": "GGA-PBE", "state": "optimized geometry", "cell": [[-0.6791, 3.3379, 3.5981], [-4.8430, 1.3340, -2.1516], [-2.1925, -3.4562, 2.7924]], "species": ["Sr", "Se", "Zr", "Ti", "Ti"], "fractional_positions": [[0.5000, 0.5000, 0.5000], [0.0000, 0.5000, 0.0000], [0.0000, 0.0000, 0.0000], [0.0000, 0.0000, 0.5000], [0.5000, 0.0000, 0.0000]], "m_tot_mub_per_cell": 1.56, "crystal_system": "tetragonal"}

# 2
{"formula": "Sr2ZrTiSe", "functional": "GGA-PBE", "state": "optimized geometry", "cell": [[-4.3575, 3.6114, 1.6566], [-2.7310, -3.8554, 1.2213], [2.2127, 0.1635, 5.4636]], "species": ["Sr", "Sr", "Se", "Zr", "Ti"], "fractional_positions": [[0.0000, 0.0000, 0.5000], [0.5000, 0.0000, 0.0000], [0.0000, 0.0000, 0.0000], [0.5000, 0.5000, 0.5000], [0.0000, 0.5000, 0.0000]], "m_tot_mub_per_cell": 5.36, "crystal_system": "tetragonal"}

# 3
{"formula": "Sr3TlSe", "functional": "GGA-PBE", "state": "optimized geometry", "cell": [[-1.0450, 5.6482, -1.4528], [0.6479, -1.3543, -5.7316], [-5.7960, -1.1698, -0.3788]], "species": ["Sr", "Sr", "Sr", "Tl", "Se"], "fractional_positions": [[0.0000, 0.5000, 0.0000], [0.0000, 0.0000, 0.5000], [0.5000, 0.0000, 0.0000], [0.5000, 0.5000, 0.5000], [0.0000, 0.0000, 0.0000]], "m_tot_mub_per_cell": 0.00, "crystal_system": "cubic"}

# 4
{"formula": "SrTlSe", "functional": "GGA-PBE", "state": "optimized geometry", "cell": [[-5.0801, -1.2986, 0.9350], [-2.1419, -4.2567, -2.3794], [-1.1559, -4.3459, 2.8540]], "species": ["Se", "Sr", "Tl"], "fractional_positions": [[0.5000, 0.5000, 0.5000], [0.7500, 0.7500, 0.7500], [0.0000, 0.0000, 0.0000]], "m_tot_mub_per_cell": 0.00, "crystal_system": "cubic"}

# 5
{"formula": "SrTl2Se", "functional": "GGA-PBE", "state": "optimized geometry", "cell": [[-4.6036, 1.6529, -3.0259], [-5.0630, -2.3195, -1.4376], [-4.3657, 2.0065, 3.7556]], "species": ["Se", "Sr", "Tl", "Tl"], "fractional_positions": [[0.4982, 0.4982, 0.6420], [0.7894, 0.7894, 0.6347], [0.9856, 0.9856, 0.0185], [0.2267, 0.2267, 0.2048]], "m_tot_mub_per_cell": 0.00, "crystal_system": "monoclinic"}

# 6
{"formula": "Sr2TlSe", "functional": "GGA-PBE", "state": "optimized geometry", "cell": [[-2.2292, -4.4240, 3.7243], [3.6406, 0.4702, 4.9936], [-3.9661, 3.6322, -3.0804]], "species": ["Se", "Sr", "Sr", "Tl"], "fractional_positions": [[0.2500, 0.7500, 0.5000], [0.0350, 0.0350, 0.0000], [0.4650, 0.4650, 0.0000], [0.7500, 0.2500, 0.5000]], "m_tot_mub_per_cell": 0.00, "crystal_system": "orthorhombic"}

# 7
{"formula": "Sr2TlSe2", "functional": "GGA-PBE", "state": "optimized geometry", "cell": [[-4.1379, 3.7488, 4.6401], [-7.0572, -0.7331, -1.5380], [5.4006, -4.7665, 0.9059]], "species": ["Sr", "Sr", "Tl", "Se", "Se"], "fractional_positions": [[0.6808, 0.6808, 0.0000], [0.3192, 0.3192, 0.0000], [0.0000, 0.0000, 0.0000], [0.2500, 0.7500, 0.5000], [0.7500, 0.2500, 0.5000]], "m_tot_mub_per_cell": 0.91, "crystal_system": "tetragonal"}

# 8
{"formula": "Sr2TlSe", "functional": "GGA-PBE", "state": "optimized geometry", "cell": [[3.8435, -1.7151, 3.7898], [-0.3910, -5.1647, 2.2912], [3.7550, -4.0059, -1.3891]], "species": ["Sr", "Sr", "Tl", "Se"], "fractional_positions": [[0.2500, 0.2500, 0.2500], [0.7500, 0.7500, 0.7500], [0.5000, 0.5000, 0.5000], [0.0000, 0.0000, 0.0000]], "m_tot_mub_per_cell": 0.00, "crystal_system": "cubic"}

# 9
{"formula": "Sr2TlSe2", "functional": "GGA-PBE", "state": "optimized geometry", "cell": [[-6.6691, -2.6926, -4.6505], [2.9139, -8.0396, 0.4763], [-2.1517, -0.5773, 3.4199]], "species": ["Sr", "Sr", "Sr", "Sr", "Tl", "Tl", "Se", "Se", "Se", "Se"], "fractional_positions": [[0.1558, 0.6558, 0.5000], [0.6558, 0.8442, 0.5000], [0.8442, 0.3442, 0.5000], [0.3442, 0.1558, 0.5000], [0.0000, 0.0000, 0.0000], [0.5000, 0.5000, 0.0000], [0.3511, 0.8511, 0.0000], [0.8511, 0.6489, 0.0000], [0.6489, 0.1489, 0.0000], [0.1489, 0.3511, 0.0000]], "m_tot_mub_per_cell": 0.00, "crystal_system": "tetragonal"}

# 10
{"formula": "SrTl3Se", "functional": "GGA-PBE", "state": "optimized geometry", "cell": [[6.1649, 0.0000, 0.0000], [0.0000, 6.1649, 0.0000], [0.0000, 0.0000, 6.1649]], "species": ["Sr", "Tl", "Tl", "Tl", "Se"], "fractional_positions": [[0.0000, 0.0000, 0.0000], [0.0000, 0.5000, 0.0000], [0.0000, 0.0000, 0.5000], [0.5000, 0.0000, 0.0000], [0.5000, 0.5000, 0.5000]], "m_tot_mub_per_cell": 0.00, "crystal_system": "cubic"}

# 11
{"formula": "SrTl2Se2", "functional": "GGA-PBE", "state": "optimized geometry", "cell": [[-4.9957, 2.4856, 1.5628], [-2.0730, -5.1703, 1.5965], [-1.7991, -0.6602, 6.0419]], "species": ["Sr", "Tl", "Tl", "Se", "Se"], "fractional_positions": [[0.0000, 0.0000, 0.0000], [0.3457, 0.3457, 0.3086], [0.6543, 0.6543, 0.6914], [0.7500, 0.2500, 0.5000], [0.2500, 0.7500, 0.5000]], "m_tot_mub_per_cell": 0.00, "crystal_system": "tetragonal"}

# 12
{"formula": "SrTlSe2", "functional": "GGA-PBE", "state": "optimized geometry", "cell": [[6.2961, 0.0000, 0.0000], [0.0000, 4.3664, 0.0030], [0.0000, -0.0030, 4.3691]], "species": ["Sr", "Tl", "Se", "Se"], "fractional_positions": [[0.0000, 0.3746, 0.3756], [0.5000, 0.8751, 0.8743], [0.0000, 0.8747, 0.8755], [0.5000, 0.3756, 0.3746]], "m_tot_mub_per_cell": 0.00, "crystal_system": "orthorhombic"}

# 13
{"formula": "Sr2TlSe", "functional": "GGA-PBE", "state": "optimized geometry", "cell": [[-6.0423, -5.8661, 1.4676], [5.0384, -6.0312, -3.3636], [1.1273, -6.6856, 2.8139]], "species": ["Sr", "Sr", "Sr", "Sr", "Tl", "Tl", "Se", "Se"], "fractional_positions": [[0.5870, 0.1250, 0.2500], [0.1630, 0.6250, 0.2500], [0.3750, 0.4130, 0.7500], [0.8750, 0.8370, 0.7500], [0.0000, 0.0000, 0.0000], [0.7500, 0.2500, 0.5000], [0.5000, 0.5000, 0.0000], [0.2500, 0.7500, 0.5000]], "m_tot_mub_per_cell": 0.00, "crystal_system": "tetragonal"}

# 14
{"formula": "SrTl2Se", "functional": "GGA-PBE", "state": "optimized geometry", "cell": [[-2.5552, -5.5615, 1.1560], [4.1117, -4.6581, -0.4381], [-0.6102, 5.3772, 3.0837]], "species": ["Se", "Sr", "Tl", "Tl"], "fractional_positions": [[0.4991, 0.4991, 0.0000], [0.2792, 0.7792, 0.5000], [0.0040, 0.0040, 0.0000], [0.7177, 0.2177, 0.5000]], "m_tot_mub_per_cell": 0.00, "crystal_system": "orthorhombic"}

# 15
{"formula": "Sr2TlSe", "functional": "GGA-PBE", "state": "optimized geometry", "cell": [[-2.0701, -1.9947, -5.1402], [-2.2903, -5.1812, 1.6110], [-1.0965, 5.2466, 2.4406]], "species": ["Se", "Sr", "Sr", "Tl"], "fractional_positions": [[0.7500, 0.2500, 0.5000], [0.0000, 0.0000, 0.0000], [0.5000, 0.5000, 0.0000], [0.2500, 0.7500, 0.5000]], "m_tot_mub_per_cell": 0.00, "crystal_system": "tetragonal"}

# 16
{"formula": "Sr3TlSe4", "functional": "GGA-PBE", "state": "optimized geometry", "cell": [[-0.9772, 3.0885, 5.2221], [-9.0389, -1.5632, -0.7669], [1.0895, -9.0153, 5.5358]], "species": ["Sr", "Sr", "Sr", "Sr", "Sr", "Sr", "Tl", "Tl", "Se", "Se", "Se", "Se", "Se", "Se", "Se", "Se"], "fractional_positions": [[0.5644, 0.8399, 0.0000], [0.0644, 0.6673, 0.2490], [0.5644, 0.3327, 0.2510], [0.0644, 0.1601, 0.5000], [0.5644, 0.3327, 0.7490], [0.0644, 0.6673, 0.7510], [0.0645, 0.1707, 0.0000], [0.5645, 0.8293, 0.5000], [0.0644, 0.8377, 0.0000], [0.5644, 0.1715, 0.0000], [0.0644, 0.3331, 0.2525], [0.5644, 0.6669, 0.2475], [0.0644, 0.8285, 0.5000], [0.5644, 0.1623, 0.5000], [0.5644, 0.6669, 0.7525], [0.0644, 0.3331, 0.7475]], "m_tot_mub_per_cell": 0.00, "crystal_system": "orthorhombic"}

# 17
{"formula": "Sr4TlSe", "functional": "GGA-PBE", "state": "optimized geometry", "cell": [[0.0000, 5.0147, 5.0147], [5.0147, 0.0000, 5.0147], [5.0147, 5.0147, 0.0000]], "species": ["Sr", "Sr", "Sr", "Sr", "Tl", "Se"], "fractional_positions": [[0.3749, 0.8752, 0.3749], [0.8752, 0.3749, 0.3749], [0.3749, 0.3749, 0.8752], [0.3749, 0.3749, 0.3749], [0.7500, 0.7500, 0.7500], [0.0000, 0.0000, 0.0000]], "m_tot_mub_per_cell": 0.00, "crystal_system": "cubic"}

# 18
{"formula": "SrTlSe", "functional": "GGA-PBE", "state": "optimized geometry", "cell": [[-4.2563, 2.0566, -2.3085], [-0.9594, -0.9620, -5.0822], [-4.0097, -3.1149, -1.3761]], "species": ["Se", "Sr", "Tl"], "fractional_positions": [[0.7500, 0.7500, 0.7500], [0.0000, 0.0000, 0.0000], [0.5000, 0.5000, 0.5000]], "m_tot_mub_per_cell": 0.00, "crystal_system": "cubic"}

# 19
{"formula": "SrTl2Se2", "functional": "GGA-PBE", "state": "optimized geometry", "cell": [[-2.5556, 1.9625, 3.0849], [-4.2596, 0.9590, -0.9137], [-4.9529, -7.7582, 4.0577]], "species": ["Sr", "Tl", "Tl", "Se", "Se"], "fractional_positions": [[0.0000, 0.0000, 0.0000], [0.2135, 0.2135, 0.3594], [0.7865, 0.7865, 0.6406], [0.6050, 0.6050, 0.1849], [0.3950, 0.3950, 0.8151]], "m_tot_mub_per_cell": 0.00, "crystal_system": "trigonal"}

# 20
{"formula": "SrTl2Se", "functional": "GGA-PBE", "state": "optimized geometry", "cell": [[-5.7540, -6.9205, 1.4458], [-4.3332, -7.6159, -2.5128], [-2.0036, -8.8532, 0.8360]], "species": ["Se", "Sr", "Tl", "Tl"], "fractional_positions": [[0.2500, 0.2500, 0.2500], [0.7500, 0.7500, 0.7500], [0.9837, 0.9837, 0.9837], [0.5163, 0.5163, 0.5163]], "m_tot_mub_per_cell": 0.00, "crystal_system": "trigonal"}

# 21
{"formula": "SrTlSe2", "functional": "GGA-PBE", "state": "optimized geometry", "cell": [[-1.2530, -3.3585, 6.0622], [4.4918, -3.5749, 4.0798], [-0.9922, 6.0123, -3.5311]], "species": ["Se", "Se", "Sr", "Tl"], "fractional_positions": [[0.0000, 0.0000, 0.0000], [0.2500, 0.7500, 0.5000], [0.5000, 0.5000, 0.0000], [0.7500, 0.2500, 0.5000]], "m_tot_mub_per_cell": 0.00, "crystal_system": "tetragonal"}

# 22
{"formula": "Sr2TlSe", "functional": "GGA-PBE", "state": "optimized geometry", "cell": [[-2.6639, 3.6241, 3.5134], [-5.5809, -0.6062, 1.0295], [-1.7801, -1.7800, 5.1222]], "species": ["Se", "Sr", "Sr", "Tl"], "fractional_positions": [[0.5000, 0.5000, 0.5000], [0.0000, 0.0000, 0.0000], [0.2500, 0.2500, 0.2500], [0.7500, 0.7500, 0.7500]], "m_tot_mub_per_cell": 0.00, "crystal_system": "cubic"}

# 23
{"formula": "SrTlSe", "functional": "GGA-PBE", "state": "optimized geometry", "cell": [[-2.8115, -0.0871, -4.2265], [0.1548, -4.0706, 3.0302], [-3.3268, 1.4979, 2.1822]], "species": ["Se", "Sr", "Tl"], "fractional_positions": [[0.0000, 0.0000, 0.9184], [0.6667, 0.3333, 0.3071], [0.3333, 0.6667, 0.7745]], "m_tot_mub_per_cell": 0.00, "crystal_system": "trigonal"}

# 24
{"formula": "SrTlSe2", "functional": "GGA-PBE", "state": "optimized geometry", "cell": [[-1.6615, -2.3933, 3.2642], [2.3925, -3.1800, 1.8186], [2.9753, 3.0510, 6.6838]], "species": ["Sr", "Tl", "Se", "Se"], "fractional_positions": [[0.6669, 0.6669, 0.9992], [0.4984, 0.4984, 0.5048], [0.0813, 0.0813, 0.7560], [0.2533, 0.2533, 0.2400]], "m_tot_mub_per_cell": 0.00, "crystal_system": "trigonal"}

# 25
{"formula": "SrTlSe", "functional": "GGA-PBE", "state": "optimized geometry", "cell": [[-0.3913, -3.2900, 6.1410], [-1.7541, -5.9846, 3.1303], [3.5497, -2.3163, 0.4654]], "species": ["Se", "Sr", "Tl"], "fractional_positions": [[0.9166, 0.9166, 0.0834], [0.4003, 0.4003, 0.5997], [0.6831, 0.6831, 0.3169]], "m_tot_mub_per_cell": 0.00, "crystal_system": "tetragonal"}

# 26
{"formula": "SrTlSe2", "functional": "GGA-PBE", "state": "optimized geometry", "cell": [[5.3865, 0.0000, 0.0000], [2.6932, 4.6648, 0.0000], [2.6932, 1.5549, 4.3980]], "species": ["Se", "Se", "Sr", "Tl"], "fractional_positions": [[0.0000, 0.0000, 0.0000], [0.2500, 0.2500, 0.2500], [0.5000, 0.5000, 0.5000], [0.7500, 0.7500, 0.7500]], "m_tot_mub_per_cell": 0.00, "crystal_system": "cubic"}

# 27
{"formula": "SrTl5Se4", "functional": "GGA-PBE", "state": "optimized geometry", "cell": [[4.2335, 0.0000, -1.1641], [-0.6627, 8.2761, -2.4100], [0.4163, -1.1239, 9.7939]], "species": ["Sr", "Tl", "Tl", "Tl", "Tl", "Tl", "Se", "Se", "Se", "Se"], "fractional_positions": [[0.5000, 0.0000, 0.0000], [0.1937, 0.0475, 0.3875], [0.1518, 0.4902, 0.3037], [0.8482, 0.5098, 0.6963], [0.5000, 0.5000, 0.0000], [0.8063, 0.9525, 0.6125], [0.6716, 0.2655, 0.3431], [0.0446, 0.7996, 0.0892], [0.3284, 0.7345, 0.6569], [0.9554, 0.2004, 0.9108]], "m_tot_mub_per_cell": 0.00, "crystal_system": "monoclinic"}

# 28
{"formula": "Sr2TlSe", "functional": "GGA-PBE", "state": "optimized geometry", "cell": [[3.8079, 0.0108, 0.0000], [-0.0108, 3.8079, 0.0000], [0.0000, 0.0000, 8.6674]], "species": ["Se", "Sr", "Sr", "Tl"], "fractional_positions": [[0.5000, 0.5000, 0.7500], [0.0000, 0.0000, 0.9661], [0.0000, 0.0000, 0.5339], [0.5000, 0.5000, 0.2500]], "m_tot_mub_per_cell": 0.00, "crystal_system": "tetragonal"}

# 29
{"formula": "Sr2TlSe", "functional": "GGA-PBE", "state": "optimized geometry", "cell": [[9.1394, -0.0306, 0.0004], [8.2910, 3.8457, 0.0004], [0.9409, 0.2059, 4.0235]], "species": ["Se", "Sr", "Sr", "Tl"], "fractional_positions": [[0.2941, 0.2941, 0.2045], [0.9351, 0.9351, 0.0662], [0.7188, 0.7188, 0.7803], [0.5520, 0.5520, 0.4491]], "m_tot_mub_per_cell": 0.40, "crystal_system": "monoclinic"}

Values for E_form (uncorrected), eV/atom, ordered as above
0.411 0.156 -0.793 -0.616 -0.666 -0.816 -1.105 -0.746 -1.407 0.572 -0.598 -1.141 -0.872 -0.612 -0.786 -1.490 0.142 -0.853 -1.056 -0.299 -0.901 -0.311 -0.779 -0.994 -0.961 -0.571 -0.636 -1.032 -0.989